<w>
First-principles (PBE) data for a relaxed structure of YZr3Sc, as listed in the Alexandria database.

Calculated values
- DOS(E_F) (states/eV/atom) = 2.0650
- crystal system = cubic

Lattice parameters (Å, degrees): 5.2010 5.2010 5.2010 90.00 90.00 90.00
Space group Pm-3m (No. 221)
Symmetry-distinct sites (fractional):
Y 0.0000 0.0000 0.0000 [1 per cell]
Zr 0.0000 0.0000 0.5000 [3 per cell]
Sc 0.5000 0.5000 0.5000 [1 per cell]

<x>
First-principles (PBE) data for a relaxed structure of YZr3Sc, as listed in the Alexandria database.

Calculated values
- DOS(E_F) (states/eV/atom) = 2.2127
- crystal system = cubic

Lattice parameters (Å, degrees): 5.1539 5.1539 5.1539 90.00 90.00 90.00
Space group Pm-3m (No. 221)
Symmetry-distinct sites (fractional):
Y 0.0000 0.0000 0.0000 [1 per cell]
Zr 0.0000 0.5000 0.5000 [3 per cell]
Sc 0.5000 0.5000 0.5000 [1 per cell]

Most stable structure - <x>; separation to the second - 374 meV per atom.